1.
Density functional theory data (PBE) for Cr2TePb after structural relaxation.

Lattice parameters (Å, degrees): 7.1005 7.1005 7.1005 90.00 90.00 90.00
Closest atoms and distances in Å follow each position.
Space group Fm-3m (No. 225)
Inequivalent atoms, fractional coordinates:
Cr1 0.2500 0.2500 0.2500  4 Te 3.07, 4 Pb 3.07
Te1 0.0000 0.0000 0.0000  8 Cr 3.07
Pb1 0.0000 0.0000 0.5000  8 Cr 3.07

Calculated values
- total energy (eV/cell) = -95.749
- distance to the lowest polymorph of the same formula (kcal/mol of atoms) = 6.511
- calculated density (g/cm³) = 8.1

---

2.
Density functional theory data (PBE) for TlCrTe2 after structural relaxation.

Lattice parameters (Å, degrees): 4.3022 4.3324 6.0827 90.00 90.09 90.00
Closest atoms and distances in Å follow each position.
Space group P2/m (No. 10)
Inequivalent atoms, fractional coordinates:
Tl1 0.0000 0.0000 0.0000  6 Te 3.04-3.05
Cr1 0.5000 0.5000 0.5000  6 Te 3.04-3.05
Te1 0.0000 0.0000 0.5000  2 Tl 3.04, 4 Cr 3.05
Te2 0.5000 0.5000 0.0000  2 Cr 3.04, 4 Tl 3.05

Calculated values
- total energy (eV/cell) = -18.136
- calculated density (g/cm³) = 7.5

---

Number 1: total magnetic moment 32.5 μB/cell. Number 2: total magnetic moment 4.1 μB/cell.